DFT (PBE-GGA) results for crystalline TlTeP at its relaxed geometry.

Cell lengths 11.4731, 4.0251, 7.8600 Å; angles 90.00, 90.00, 90.00 degrees
With the nearest neighbours (Å) after each atom.
Sites, in units of the cell vectors:
Tl 0.0024 0.2500 0.1893  2 P 3.01
Tl 0.4976 0.7500 0.6893  2 P 3.01
Tl 0.5024 0.2500 0.3107  2 P 3.01
Tl 0.9976 0.7500 0.8107  2 P 3.01
Te 0.2107 0.2500 0.6216  1 P 2.48
Te 0.2893 0.7500 0.1216  1 P 2.48
Te 0.7107 0.2500 0.8784  1 P 2.48
Te 0.7893 0.7500 0.3784  1 P 2.48
P 0.1548 0.7500 0.3679  1 Te 2.48
P 0.3452 0.2500 0.8679  1 Te 2.48
P 0.6548 0.7500 0.1321  1 Te 2.48
P 0.8452 0.2500 0.6321  1 Te 2.48

Output
- V: 363.0 Å³/cell
- Space group: No. 62
- Polymorph energy (0 for the lowest one): 0.052 eV/atom
- Fermi-level density of states: 0.630 states/eV/atom
- Spin magnetization: 0.0 μB per formula unit